# GGA-PBE AgSnSeCl, relaxed
data_AgSnSeCl
_chemical_formula_sum 'Ag2 Sn2 Se2 Cl2'
_space_group_name_H-M_alt 'P 4/n m m'
_space_group_IT_number 129
_cell_length_a 4.4302
_cell_length_b 4.4302
_cell_length_c 9.5220
_cell_angle_alpha 90.00
_cell_angle_beta 90.00
_cell_angle_gamma 90.00
loop_
_space_group_symop_operation_xyz
'x,y,z'
'-x,-y,-z'
'-y+1/2,x,z'
'y+1/2,-x,-z'
'-x+1/2,-y+1/2,z'
'x+1/2,y+1/2,-z'
'y,-x+1/2,z'
'-y,x+1/2,-z'
'x+1/2,-y,-z'
'-x+1/2,y,z'
'-y,-x,-z'
'y,x,z'
'-x,y+1/2,-z'
'x,-y+1/2,z'
'y+1/2,x+1/2,-z'
'-y+1/2,-x+1/2,z'
loop_
_atom_site_label
_atom_site_fract_x
_atom_site_fract_y
_atom_site_fract_z
Ag1 0.2500 0.7500 0.0000
Sn1 0.2500 0.2500 0.3022
Se1 0.2500 0.2500 0.8176
Cl1 0.2500 0.7500 0.5000
# Density: 6.1 g/cm3
# Electronic total energy: -3.438 eV per atom